No. 1
A relaxed TbNd2Sm3S6 crystal, computed with GGA-PBE.

CIF file:
```
data_TbNd2Sm3S6
_chemical_formula_sum 'Tb2 Nd4 Sm6 S12'
_symmetry_space_group_name_H-M 'C 1 2/m 1'
_symmetry_Int_Tables_number 12
_symmetry_space_group_name_Hall '-C 2y'
_cell_length_a 6.9474
_cell_length_b 12.0728
_cell_length_c 6.9483
_cell_angle_alpha 90.00
_cell_angle_beta 109.51
_cell_angle_gamma 90.00
loop_
_atom_site_label
_atom_site_type_symbol
_atom_site_fract_x
_atom_site_fract_y
_atom_site_fract_z
Tb1 Tb 0.0000 0.0000 0.0000
Nd1 Nd 0.0000 0.3331 0.0000
Sm1 Sm 0.0000 0.1701 0.5000
Sm2 Sm 0.0000 0.5000 0.5000
S1 S 0.2412 0.0000 0.7472
S2 S 0.2461 0.1629 0.2499
```

=====

No. 2
A relaxed TbNd4SmS8 crystal, computed with GGA-PBE.

CIF file:
```
data_TbNd4SmS8
_chemical_formula_sum 'Tb3 Nd12 Sm3 S24'
_symmetry_space_group_name_H-M 'R 3 m'
_symmetry_Int_Tables_number 160
_symmetry_space_group_name_Hall 'R 3 -2"'
_cell_length_a 8.2958
_cell_length_b 8.2958
_cell_length_c 20.2792
_cell_angle_alpha 90.00
_cell_angle_beta 90.00
_cell_angle_gamma 120.00
loop_
_atom_site_label
_atom_site_type_symbol
_atom_site_fract_x
_atom_site_fract_y
_atom_site_fract_z
Tb1 Tb 0.0000 0.0000 0.0000
Nd1 Nd 0.0000 0.0000 0.2494
Nd2 Nd 0.1681 0.3362 0.4578
Sm1 Sm 0.0000 0.0000 0.6259
S1 S 0.0000 0.0000 0.3825
S2 S 0.0000 0.0000 0.8707
S3 S 0.0140 0.5070 0.3751
S4 S 0.1788 0.3576 0.2065
```

=====

No. 3
A relaxed NdSmTeS crystal, computed with GGA-PBE.

CIF file:
```
data_NdSmTeS
_chemical_formula_sum 'Nd3 Sm3 Te3 S3'
_symmetry_space_group_name_H-M 'R 3 m'
_symmetry_Int_Tables_number 160
_symmetry_space_group_name_Hall 'R 3 -2"'
_cell_length_a 4.0545
_cell_length_b 4.0545
_cell_length_c 23.2936
_cell_angle_alpha 90.00
_cell_angle_beta 90.00
_cell_angle_gamma 120.00
loop_
_atom_site_label
_atom_site_type_symbol
_atom_site_fract_x
_atom_site_fract_y
_atom_site_fract_z
Nd1 Nd 0.0000 0.0000 0.0000
Sm1 Sm 0.0000 0.0000 0.1551
Te1 Te 0.0000 0.0000 0.5767
S1 S 0.0000 0.0000 0.4117
```

=====

No. 4
A relaxed Nd2SmTe2S2 crystal, computed with GGA-PBE.

CIF file:
```
data_Nd2SmTe2S2
_chemical_formula_sum 'Nd4 Sm2 Te4 S4'
_symmetry_space_group_name_H-M 'I 4/m m m'
_symmetry_Int_Tables_number 139
_symmetry_space_group_name_Hall '-I 4 2'
_cell_length_a 5.1746
_cell_length_b 5.1746
_cell_length_c 16.0541
_cell_angle_alpha 90.00
_cell_angle_beta 90.00
_cell_angle_gamma 90.00
loop_
_atom_site_label
_atom_site_type_symbol
_atom_site_fract_x
_atom_site_fract_y
_atom_site_fract_z
Nd1 Nd 0.0000 0.0000 0.1142
Sm1 Sm 0.0000 0.0000 0.5000
Te1 Te 0.0000 0.0000 0.3111
S1 S 0.0000 0.5000 0.0000
```

=====

No. 5
A relaxed NdSmTe2S crystal, computed with GGA-PBE.

CIF file:
```
data_NdSmTe2S
_chemical_formula_sum 'Nd2 Sm2 Te4 S2'
_symmetry_space_group_name_H-M 'P 4/n m m'
_symmetry_Int_Tables_number 129
_cell_length_a 4.4953
_cell_length_b 4.4953
_cell_length_c 15.9452
_cell_angle_alpha 90.00
_cell_angle_beta 90.00
_cell_angle_gamma 90.00
loop_
_symmetry_equiv_pos_as_xyz
'x,y,z'
'-x,-y,-z'
'-y+1/2,x,z'
'y+1/2,-x,-z'
'-x+1/2,-y+1/2,z'
'x+1/2,y+1/2,-z'
'y,-x+1/2,z'
'-y,x+1/2,-z'
'x+1/2,-y,-z'
'-x+1/2,y,z'
'-y,-x,-z'
'y,x,z'
'-x,y+1/2,-z'
'x,-y+1/2,z'
'y+1/2,x+1/2,-z'
'-y+1/2,-x+1/2,z'
loop_
_atom_site_label
_atom_site_type_symbol
_atom_site_fract_x
_atom_site_fract_y
_atom_site_fract_z
Nd1 Nd 0.2500 0.2500 0.1028
Sm1 Sm 0.2500 0.2500 0.6142
Te1 Te 0.2500 0.2500 0.4068
Te2 Te 0.2500 0.2500 0.7999
S1 S 0.2500 0.7500 0.0000
```

=====

No. 6
A relaxed Nd4SmTh3S8 crystal, computed with GGA-PBE.

CIF file:
```
data_Nd4SmTh3S8
_chemical_formula_sum 'Nd12 Sm3 Th9 S24'
_symmetry_space_group_name_H-M 'R -3 m'
_symmetry_Int_Tables_number 166
_symmetry_space_group_name_Hall '-R 3 2"'
_cell_length_a 8.0741
_cell_length_b 8.0741
_cell_length_c 19.9620
_cell_angle_alpha 90.00
_cell_angle_beta 90.00
_cell_angle_gamma 120.00
loop_
_atom_site_label
_atom_site_type_symbol
_atom_site_fract_x
_atom_site_fract_y
_atom_site_fract_z
Nd1 Nd 0.0000 0.0000 0.0000
Nd2 Nd 0.0000 0.5000 0.0000
Sm1 Sm 0.0000 0.0000 0.5000
Th1 Th 0.0000 0.5000 0.5000
S1 S 0.0000 0.0000 0.2500
S2 S 0.0018 0.5009 0.2492
```

=====

No. 7
A relaxed Nd3SmTh2S6 crystal, computed with GGA-PBE.

CIF file:
```
data_Nd3SmTh2S6
_chemical_formula_sum 'Nd6 Sm2 Th4 S12'
_symmetry_space_group_name_H-M 'C 1 2/m 1'
_symmetry_Int_Tables_number 12
_symmetry_space_group_name_Hall '-C 2y'
_cell_length_a 7.0131
_cell_length_b 12.1104
_cell_length_c 7.0315
_cell_angle_alpha 90.00
_cell_angle_beta 109.38
_cell_angle_gamma 90.00
loop_
_atom_site_label
_atom_site_type_symbol
_atom_site_fract_x
_atom_site_fract_y
_atom_site_fract_z
Nd1 Nd 0.0000 0.0000 0.0000
Nd2 Nd 0.0000 0.3349 0.0000
Sm1 Sm 0.0000 0.5000 0.5000
Th1 Th 0.0000 0.1669 0.5000
S1 S 0.2488 0.3338 0.7479
S2 S 0.2497 0.0000 0.7462
```

=====

No. 8
A relaxed NdSm4Th3S8 crystal, computed with GGA-PBE.

CIF file:
```
data_NdSm4Th3S8
_chemical_formula_sum 'Nd3 Sm12 Th9 S24'
_symmetry_space_group_name_H-M 'R -3 m'
_symmetry_Int_Tables_number 166
_symmetry_space_group_name_Hall '-R 3 2"'
_cell_length_a 8.0115
_cell_length_b 8.0115
_cell_length_c 19.9333
_cell_angle_alpha 90.00
_cell_angle_beta 90.00
_cell_angle_gamma 120.00
loop_
_atom_site_label
_atom_site_type_symbol
_atom_site_fract_x
_atom_site_fract_y
_atom_site_fract_z
Nd1 Nd 0.0000 0.0000 0.0000
Sm1 Sm 0.0000 0.0000 0.5000
Sm2 Sm 0.0000 0.5000 0.5000
Th1 Th 0.0000 0.5000 0.0000
S1 S 0.0000 0.0000 0.2482
S2 S 0.0006 0.5003 0.2484
```

=====

No. 9
A relaxed NdSmTh2S4 crystal, computed with GGA-PBE.

CIF file:
```
data_NdSmTh2S4
_chemical_formula_sum 'Nd1 Sm1 Th2 S4'
_symmetry_space_group_name_H-M 'P 1 2/m 1'
_symmetry_Int_Tables_number 10
_symmetry_space_group_name_Hall '-P 2y'
_cell_length_a 6.9353
_cell_length_b 4.0496
_cell_length_c 7.0373
_cell_angle_alpha 90.00
_cell_angle_beta 109.42
_cell_angle_gamma 90.00
loop_
_atom_site_label
_atom_site_type_symbol
_atom_site_fract_x
_atom_site_fract_y
_atom_site_fract_z
Nd1 Nd 0.0000 0.0000 0.0000
Sm1 Sm 0.5000 0.5000 0.0000
Th1 Th 0.0000 0.5000 0.5000
Th2 Th 0.5000 0.0000 0.5000
S1 S 0.2519 0.5000 0.2483
S2 S 0.2533 0.0000 0.7533
```

=====

No. 10
A relaxed NdSm3Th2S6 crystal, computed with GGA-PBE.

CIF file:
```
data_NdSm3Th2S6
_chemical_formula_sum 'Nd2 Sm6 Th4 S12'
_symmetry_space_group_name_H-M 'C 1 2/m 1'
_symmetry_Int_Tables_number 12
_symmetry_space_group_name_Hall '-C 2y'
_cell_length_a 6.9637
_cell_length_b 12.0223
_cell_length_c 7.0203
_cell_angle_alpha 90.00
_cell_angle_beta 109.25
_cell_angle_gamma 90.00
loop_
_atom_site_label
_atom_site_type_symbol
_atom_site_fract_x
_atom_site_fract_y
_atom_site_fract_z
Nd1 Nd 0.0000 0.0000 0.0000
Sm1 Sm 0.0000 0.1636 0.5000
Sm2 Sm 0.0000 0.5000 0.5000
Th1 Th 0.0000 0.3329 0.0000
S1 S 0.2469 0.3323 0.7441
S2 S 0.2487 0.5000 0.2524
```

=====

No. 11
A relaxed Nd3SmTl4S8 crystal, computed with GGA-PBE.

CIF file:
```
data_Nd3SmTl4S8
_chemical_formula_sum 'Nd9 Sm3 Tl12 S24'
_symmetry_space_group_name_H-M 'R -3 m'
_symmetry_Int_Tables_number 166
_symmetry_space_group_name_Hall '-R 3 2"'
_cell_length_a 8.3372
_cell_length_b 8.3372
_cell_length_c 22.5005
_cell_angle_alpha 90.00
_cell_angle_beta 90.00
_cell_angle_gamma 120.00
loop_
_atom_site_label
_atom_site_type_symbol
_atom_site_fract_x
_atom_site_fract_y
_atom_site_fract_z
Nd1 Nd 0.0000 0.5000 0.0000
Sm1 Sm 0.0000 0.0000 0.0000
Tl1 Tl 0.0000 0.0000 0.5000
Tl2 Tl 0.0000 0.5000 0.5000
S1 S 0.0000 0.0000 0.2651
S2 S 0.0029 0.5014 0.7345
```

=====

No. 12
A relaxed NdSm3Tm2S6 crystal, computed with GGA-PBE.

CIF file:
```
data_NdSm3Tm2S6
_chemical_formula_sum 'Nd2 Sm6 Tm4 S12'
_symmetry_space_group_name_H-M 'C 1 2/m 1'
_symmetry_Int_Tables_number 12
_symmetry_space_group_name_Hall '-C 2y'
_cell_length_a 6.8496
_cell_length_b 11.8988
_cell_length_c 6.8807
_cell_angle_alpha 90.00
_cell_angle_beta 109.43
_cell_angle_gamma 90.00
loop_
_atom_site_label
_atom_site_type_symbol
_atom_site_fract_x
_atom_site_fract_y
_atom_site_fract_z
Nd1 Nd 0.0000 0.0000 0.0000
Sm1 Sm 0.0000 0.1603 0.5000
Sm2 Sm 0.0000 0.5000 0.5000
Tm1 Tm 0.0000 0.3341 0.0000
S1 S 0.2329 0.5000 0.2374
S2 S 0.2461 0.3267 0.7576
```

=====

| no. | electronic total energy (eV per atom) | formation energy (no corrections) (eV per atom) |
| --- | --- | --- |
| 1 | -6.4482 | -2.024 |
| 2 | -6.2990 | -1.910 |
| 3 | -5.7631 | -1.574 |
| 4 | -5.5278 | -1.414 |
| 5 | -5.4888 | -1.509 |
| 6 | -6.8932 | -1.951 |
| 7 | -6.8378 | -1.952 |
| 8 | -6.8828 | -1.950 |
| 9 | -7.0249 | -1.920 |
| 10 | -6.8289 | -1.951 |
| 11 | -5.3014 | -1.457 |
| 12 | -6.3810 | -1.995 |